An optimized crystal structure of ReSe2. Source: the Alexandria database, functional PBE-GGA.

Unit cell a=6.8142 b=6.8142 c=7.8978 alpha=72.48 beta=72.48 gamma=26.49
Fractional positions:
Se  0.4184  0.4184  0.8016
Re  0.6070  0.6070  0.6771
Se  0.6349  0.6349  0.9783
Se  0.1298  0.1298  0.4390
Se  0.3952  0.3952  0.2557
Re  0.9813  0.9813  0.0149

Output
symmetry	Cm (8)
DOS at the Fermi energy	0.519	states/eV per atom
density	7.35	g/cm³
E_tot	-19.2	eV/f.u.